Ti6AsS | PBE | optimized geometry

Lattice parameters (Å, degrees): 5.582 5.601 6.214 63.42 63.71 59.97
Fractional coordinates of all 8 atoms:
Ti 0.443 0.760 0.759
Ti 0.960 0.557 0.242
Ti 0.557 0.240 0.241
S 0.000 0.000 0.000
Ti 0.759 0.035 0.758
Ti 0.040 0.443 0.758
Ti 0.241 0.965 0.242
As 0.500 0.500 0.500

---

Ti4AsS | PBE | optimized geometry

Lattice parameters (Å, degrees): 6.012 5.961 5.774 90.00 95.94 90.00
Fractional coordinates of all 12 atoms:
Ti 0.328 0.344 0.364
As 0.500 0.500 0.000
Ti 0.881 0.640 0.137
Ti 0.381 0.860 0.137
Ti 0.672 0.656 0.636
Ti 0.828 0.156 0.364
Ti 0.619 0.140 0.863
S 0.000 0.500 0.500
S 0.500 0.000 0.500
As 0.000 0.000 0.000
Ti 0.172 0.844 0.636
Ti 0.119 0.360 0.863

---

Ti2AsS | PBE | optimized geometry

Computed properties:
relative energy among the computed polymorphs	422	meV per atom

Lattice parameters (Å, degrees): 5.602 5.602 6.866 65.93 65.93 90.00
Site moments in Bohr magnetons follow the coordinates.
Fractional coordinates of all 8 atoms:
Ti 0.606 0.125 0.250  0.22
S 0.250 0.750 0.500  -0.01
As 0.000 0.000 0.000  -0.01
As 0.750 0.250 0.500  -0.01
Ti 0.375 0.394 0.750  0.23
Ti 0.144 0.625 0.250  0.23
Ti 0.875 0.856 0.750  0.22
S 0.500 0.500 0.000  -0.01

---

TiAsS3 | PBE | optimized geometry

Computed properties:
relative energy among the computed polymorphs	0	meV per atom

Lattice parameters (Å, degrees): 3.311 6.259 6.259 98.04 90.00 90.00
Fractional coordinates of all 5 atoms:
Ti 0.000 0.431 0.569
S 0.500 0.321 0.306
As 0.500 0.000 0.000
S 0.000 0.182 0.818
S 0.500 0.694 0.679

---

TiAs3S | PBE | optimized geometry

Computed properties:
relative energy among the computed polymorphs	0	meV per atom

Lattice parameters (Å, degrees): 4.854 4.854 4.854 90.00 90.00 90.00
Site moments in Bohr magnetons follow the coordinates.
Fractional coordinates of all 5 atoms:
As 0.500 0.000 0.000  0.01
As 0.000 0.500 0.000  0.01
As 0.000 0.000 0.500  0.01
Ti 0.000 0.000 0.000  0.13
S 0.500 0.500 0.500  0.28

---

Ti2As2S | PBE | optimized geometry

Computed properties:
relative energy among the computed polymorphs	39	meV per atom

Lattice parameters (Å, degrees): 6.824 6.824 3.570 90.00 90.00 90.00
Fractional coordinates of all 10 atoms:
Ti 0.339 0.839 0.000
As 0.635 0.865 0.500
As 0.135 0.635 0.500
Ti 0.161 0.339 0.000
As 0.365 0.135 0.500
Ti 0.839 0.661 0.000
As 0.865 0.365 0.500
S 0.500 0.500 0.000
S 0.000 0.000 0.000
Ti 0.661 0.161 0.000

---

UTiAsS | PBE | optimized geometry

Lattice parameters (Å, degrees): 4.099 4.099 9.287 90.00 90.00 90.00
Site moments in Bohr magnetons follow the coordinates.
Fractional coordinates of all 8 atoms:
As 0.500 0.000 0.682  -0.03
U 0.500 0.000 0.189  2.00
S 0.000 0.000 0.000  -0.10
Ti 0.500 0.500 0.500  -0.18
As 0.000 0.500 0.318  -0.03
S 0.500 0.500 0.000  -0.10
U 0.000 0.500 0.811  2.00
Ti 0.000 0.000 0.500  -0.18

---

ZrTi2AsS | PBE | optimized geometry

Lattice parameters (Å, degrees): 5.010 4.925 5.010 90.00 90.00 90.00
Fractional coordinates of all 5 atoms:
As 0.000 0.500 0.000
S 0.500 0.500 0.500
Zr 0.000 0.000 0.000
Ti 0.000 0.000 0.500
Ti 0.500 0.000 0.000

---

no.,N(E_F) (states/eV per cell),calculated total energy (eV/atom),formation energy from raw total energies (eV per formula unit)
1,9.516,-7.368,-2.8
2,10.633,-7.363,-3.8
3,8.257,-6.766,-2.5
4,3.791,-5.521,-2.7
5,4.269,-4.799,2.0
6,2.616,-6.618,-3.9
7,15.959,-7.874,-3.5
8,6.341,-5.632,5.0